(1)
VASP calculation (PBE) on an optimized crystal structure of LaY2TmSc4.

POSCAR file:
```
LaY2TmSc4
1.0
-3.637 -0.425 3.348
-1.317 -4.350 -1.983
4.489 -8.731 3.767
La Y Tm Sc
1 2 1 4
direct
0.500 0.500 0.000
0.000 0.000 0.000
0.500 0.000 0.500
0.000 0.500 0.500
0.000 0.754 0.746
0.000 0.246 0.254
0.500 0.745 0.254
0.500 0.255 0.746
```

Summary:
* M_tot: 0.0 μB per cell
* D(E_F): 15.11 states/eV/f.u.
* energy relative to the elements: 67 meV per atom
* raw total energy: -5.8892 eV per atom


(2)
VASP calculation (PBE) on an optimized crystal structure of Sr3CaI6Cl2.

POSCAR file:
```
Sr3CaI6Cl2
1.0
-6.013 2.697 -2.883
-3.981 -0.038 8.268
5.754 6.733 -2.290
Sr Ca I Cl
3 1 6 2
direct
0.000 0.500 0.000
0.500 0.500 0.500
0.500 0.000 0.500
0.500 0.000 0.000
0.758 0.347 0.191
0.242 0.653 0.809
0.754 0.860 0.721
0.246 0.140 0.279
0.242 0.156 0.809
0.758 0.844 0.191
0.286 0.661 0.322
0.714 0.339 0.678
```

Summary:
* M_tot: 0.0 μB per cell
* D(E_F): 0.00 states/eV/f.u.
* raw formation energy: -1.837 eV per atom
* raw total energy: -3.5075 eV per atom